[1]
A plane-wave DFT calculation with meta-GGA SCAN was carried out for a crystal of CoAs2WSe relaxed with PBEsol.

Computed properties:
Raw formation energy, meV/atom: 945
SG: No. 123
Total energy, eV for the cell shown: -142.73
DOS(E_F), states/eV/cell: 3.44

The structure in extended XYZ format:
```
5
Lattice="4.8253 0.0000 0.0000 0.0000 4.8314 0.0000 0.0000 0.0000 4.8314" Properties=species:S:1:pos:R:3 pbc="T T T"
Se 2.4127 0.0000 0.0000
W 0.0000 0.0000 0.0000
As 0.0000 0.0000 2.4157
As 0.0000 2.4157 0.0000
Co 2.4127 2.4157 2.4157
```

=====

[2]
A plane-wave DFT calculation with meta-GGA SCAN was carried out for a crystal of CoSi2As relaxed with PBEsol.

Computed properties:
Raw formation energy, meV/atom: 167
SG: No. 123
Total energy, eV for the cell shown: -56.86
DOS(E_F), states/eV/cell: 2.14

The structure in extended XYZ format:
```
4
Lattice="-0.3854 0.3905 -2.7196 0.7630 -2.6230 -0.4848 -6.5803 -2.0326 0.6407" Properties=species:S:1:pos:R:3 pbc="T T T"
As 0.1888 -1.1162 -1.6022
Si -1.9800 -0.6116 0.1928
Si -4.6003 -1.4210 0.4479
Co -3.1013 -2.1325 -1.2818
```

=====

[3]
A plane-wave DFT calculation with meta-GGA SCAN was carried out for a crystal of CoSi2As relaxed with PBEsol.

Computed properties:
Raw formation energy, meV/atom: 563
SG: No. 47
Total energy, eV for the cell shown: -55.27
DOS(E_F), states/eV/cell: 3.11

The structure in extended XYZ format:
```
4
Lattice="-2.1766 0.2486 2.5453 -2.8064 -0.7706 -2.3247 0.4803 -4.2368 0.8246" Properties=species:S:1:pos:R:3 pbc="T T T"
Si 0.0000 0.0000 0.0000
Si -2.4915 -0.2610 0.1103
As -0.8481 -1.9941 1.6849
Co -1.1630 -2.5037 -0.7500
```

=====

[4]
A plane-wave DFT calculation with meta-GGA SCAN was carried out for a crystal of Co2SiAs relaxed with PBEsol.

Computed properties:
Raw formation energy, meV/atom: -136
SG: No. 99
Total energy, eV for the cell shown: -65.36
DOS(E_F), states/eV/cell: 4.03

The structure in extended XYZ format:
```
4
Lattice="-1.7239 1.4944 2.1804 1.6068 -1.4746 2.2810 3.1480 3.5338 0.0669" Properties=species:S:1:pos:R:3 pbc="T T T"
Si 1.4247 1.5993 0.0303
As 2.4390 2.8135 2.2838
Co 0.8760 1.0590 2.2506
Co 3.0132 3.3825 0.0641
```

=====

Q: Look up the DOS(E_F) of the second one.
A: 2.14 states/eV/cell